--- w ---
Here is an optimized crystal structure of CdCoGe2P from Alexandria. Energies are from PBE.

```
5
Lattice="2.865 0.000 0.000 0.000 3.806 3.976 0.000 -3.806 3.976" Properties=species:S:1:pos:R:3 pbc="T T T"
Cd 0.000 0.000 0.000
Co 1.433 0.000 5.533
Ge 0.000 -1.781 2.008
Ge 0.000 1.781 2.008
P 0.000 0.000 3.833
```

Computed properties:
total magnetic moment = 0.00 Bohr magnetons per cell
V = 87 Å³/cell
crystal system = orthorhombic

--- x ---
Here is an optimized crystal structure of CdCoGe2P from Alexandria. Energies are from PBE.

```
5
Lattice="2.843 0.000 0.000 0.362 5.711 0.000 0.946 2.112 5.379" Properties=species:S:1:pos:R:3 pbc="T T T"
Cd 0.000 0.000 0.000
Co 2.049 2.939 3.072
Ge 0.872 6.686 2.505
Ge 2.277 3.209 0.653
P 3.456 4.481 3.702
```

Computed properties:
total magnetic moment = 0.24 Bohr magnetons per cell
V = 87 Å³/cell
crystal system = triclinic

Most favorable structure: w. The second most favorable one is 0.010 eV/atom above it.

--- w ---
Here is an optimized crystal structure of CdCoGe2P from Alexandria. Energies are from PBE.

```
5
Lattice="5.489 -1.398 0.000 5.489 1.398 0.000 -2.333 0.000 5.629" Properties=species:S:1:pos:R:3 pbc="T T T"
Cd 0.000 0.000 0.000
Co 1.294 0.000 4.038
Ge 8.008 0.000 0.054
Ge 8.201 0.000 2.660
P -0.377 0.000 2.608
```

Computed properties:
total magnetic moment = 0.34 Bohr magnetons per cell
V = 86 Å³/cell
crystal system = monoclinic

--- x ---
Here is an optimized crystal structure of CdCoGe2P from Alexandria. Energies are from PBE.

```
5
Lattice="2.826 0.000 0.000 -0.009 5.490 0.000 0.000 -0.476 5.589" Properties=species:S:1:pos:R:3 pbc="T T T"
Cd 0.000 0.000 0.000
Co 1.399 3.896 1.835
Ge 2.803 2.671 0.160
Ge 2.811 2.279 3.131
P 2.811 5.240 2.922
```

Computed properties:
total magnetic moment = 0.26 Bohr magnetons per cell
V = 87 Å³/cell
crystal system = triclinic

--- y ---
Here is an optimized crystal structure of CdCoGe2P from Alexandria. Energies are from PBE.

```
5
Lattice="5.842 -1.883 0.000 5.842 1.883 0.000 -1.558 0.000 3.980" Properties=species:S:1:pos:R:3 pbc="T T T"
Cd 0.000 0.000 0.000
Co 9.277 0.000 1.407
Ge 4.840 0.000 1.883
Ge 7.303 0.000 3.028
P 2.158 0.000 1.420
```

Computed properties:
total magnetic moment = 0.00 Bohr magnetons per cell
V = 88 Å³/cell
crystal system = monoclinic

Most favorable structure: y. The second most favorable one is 0.032 eV/atom above it.

--- w ---
Here is an optimized crystal structure of CdCoGe2P from Alexandria. Energies are from PBE.

```
5
Lattice="4.084 0.000 0.000 -0.549 4.064 0.000 -1.032 -1.672 5.997" Properties=species:S:1:pos:R:3 pbc="T T T"
Cd 0.000 0.000 0.000
Co 2.454 0.427 4.217
Ge -0.508 1.284 2.248
Ge 1.541 2.547 2.958
P 0.408 0.532 4.686
```

Computed properties:
total magnetic moment = 0.00 Bohr magnetons per cell
V = 100 Å³/cell
crystal system = triclinic

--- x ---
Here is an optimized crystal structure of CdCoGe2P from Alexandria. Energies are from PBE.

```
5
Lattice="5.987 -1.915 0.000 5.987 1.915 0.000 -1.169 0.000 4.061" Properties=species:S:1:pos:R:3 pbc="T T T"
Cd 0.000 0.000 0.000
Co 9.676 0.000 1.633
Ge 2.049 0.000 1.661
Ge 7.853 0.000 3.420
P 4.652 0.000 1.829
```

Computed properties:
total magnetic moment = 0.00 Bohr magnetons per cell
V = 93 Å³/cell
crystal system = monoclinic

Most favorable structure: x. The second most favorable one is 0.045 eV/atom above it.

--- w ---
Here is an optimized crystal structure of CdCo2H2 from Alexandria. Energies are from PBE.

```
10
Lattice="6.624 0.000 0.000 0.000 6.624 0.000 0.000 0.000 2.557" Properties=species:S:1:pos:R:3 pbc="T T T"
Cd 0.000 0.000 0.000
Cd 3.312 3.312 0.000
Co 0.759 2.553 0.000
Co 2.553 5.865 0.000
Co 4.072 0.759 0.000
Co 5.865 4.072 0.000
H 0.601 3.913 1.278
H 2.711 0.601 1.278
H 3.913 6.023 1.278
H 6.023 2.711 1.278
```

Computed properties:
total magnetic moment = 4.53 Bohr magnetons per cell
V = 112 Å³/cell
crystal system = tetragonal

--- x ---
Here is an optimized crystal structure of CdCo2H2 from Alexandria. Energies are from PBE.

```
5
Lattice="-1.578 1.578 4.729 1.578 -1.578 4.729 1.578 1.578 -4.729" Properties=species:S:1:pos:R:3 pbc="T T T"
Cd 0.000 0.000 0.000
Co 0.000 0.000 3.027
Co 0.000 0.000 6.430
H 1.578 0.000 2.364
H 0.000 1.578 2.364
```

Computed properties:
total magnetic moment = 2.10 Bohr magnetons per cell
V = 47 Å³/cell
crystal system = tetragonal

Most favorable structure: x. The second most favorable one is 0.488 eV/atom above it.

--- w ---
Here is an optimized crystal structure of CdCoH2 from Alexandria. Energies are from PBE.

```
4
Lattice="1.444 0.834 4.971 -1.444 0.834 4.971 0.000 -1.667 4.971" Properties=species:S:1:pos:R:3 pbc="T T T"
Cd 0.000 0.000 0.000
Co 0.000 0.000 7.457
H 0.000 0.000 2.915
H 0.000 0.000 11.998
```

Computed properties:
total magnetic moment = 0.00 Bohr magnetons per cell
V = 36 Å³/cell
crystal system = trigonal

--- x ---
Here is an optimized crystal structure of CdCoH2 from Alexandria. Energies are from PBE.

```
4
Lattice="1.436 0.829 5.226 -1.436 0.829 5.226 0.000 -1.659 5.226" Properties=species:S:1:pos:R:3 pbc="T T T"
Cd 0.000 0.000 0.000
Co 0.000 0.000 2.807
H 0.000 0.000 8.351
H 0.000 0.000 12.682
```

Computed properties:
total magnetic moment = 0.00 Bohr magnetons per cell
V = 37 Å³/cell
crystal system = trigonal

--- y ---
Here is an optimized crystal structure of CdCoH2 from Alexandria. Energies are from PBE.

```
4
Lattice="0.000 2.646 2.646 2.646 0.000 2.646 2.646 2.646 0.000" Properties=species:S:1:pos:R:3 pbc="T T T"
Cd 0.000 0.000 0.000
Co 2.646 2.646 2.646
H 1.323 1.323 1.323
H 3.969 3.969 3.969
```

Computed properties:
total magnetic moment = 0.00 Bohr magnetons per cell
V = 37 Å³/cell
crystal system = cubic

Most favorable structure: w. The second most favorable one is 0.021 eV/atom above it.

--- w ---
Here is an optimized crystal structure of CdCoH from Alexandria. Energies are from PBE.

```
3
Lattice="2.921 0.000 0.000 -1.461 2.530 0.000 0.000 0.000 4.472" Properties=species:S:1:pos:R:3 pbc="T T T"
Cd 0.000 0.000 0.000
Co 1.461 0.843 2.235
H 0.000 1.687 2.242
```

Computed properties:
total magnetic moment = 0.51 Bohr magnetons per cell
V = 33 Å³/cell
crystal system = trigonal

--- x ---
Here is an optimized crystal structure of CdCoH from Alexandria. Energies are from PBE.

```
24
Lattice="-4.467 4.467 3.485 4.467 -4.467 3.485 4.467 4.467 -3.485" Properties=species:S:1:pos:R:3 pbc="T T T"
Cd 3.229 3.222 -1.827
Cd 3.479 0.995 0.084
Cd 3.229 -1.245 1.827
Cd 5.456 3.472 0.084
Cd -0.989 0.995 3.401
Cd 1.239 5.712 1.658
Cd 0.989 3.472 3.401
Cd 1.239 1.245 5.312
Co 0.886 0.327 0.911
Co 7.028 1.348 0.831
Co 5.353 0.327 2.574
Co 1.906 3.120 0.831
Co 2.561 1.348 2.654
Co -0.886 4.140 0.911
Co -2.561 3.120 2.654
Co 3.581 4.140 2.574
H 4.019 -3.463 3.542
H 0.448 3.463 0.057
H 1.229 1.785 1.686
H 5.697 1.785 1.800
H -1.229 2.682 1.686
H 3.238 2.682 1.800
H 4.019 1.004 3.428
H 0.448 7.930 -0.057
```

Computed properties:
total magnetic moment = 8.86 Bohr magnetons per cell
V = 278 Å³/cell
crystal system = tetragonal

Most favorable structure: w. The second most favorable one is 0.023 eV/atom above it.

--- w ---
Here is an optimized crystal structure of Cd3CoH from Alexandria. Energies are from PBE.

```
5
Lattice="4.286 0.000 0.000 0.000 4.286 0.000 0.000 0.000 4.286" Properties=species:S:1:pos:R:3 pbc="T T T"
Cd 0.000 0.000 2.143
Cd 0.000 2.143 0.000
Cd 2.143 0.000 0.000
Co 2.143 2.143 2.143
H 0.000 0.000 0.000
```

Computed properties:
total magnetic moment = 1.12 Bohr magnetons per cell
V = 79 Å³/cell
crystal system = cubic

--- x ---
Here is an optimized crystal structure of Cd3CoH from Alexandria. Energies are from PBE.

```
5
Lattice="5.018 0.000 0.000 0.000 5.018 0.000 0.000 0.000 5.018" Properties=species:S:1:pos:R:3 pbc="T T T"
Cd 0.000 0.000 2.509
Cd 0.000 2.509 0.000
Cd 2.509 0.000 0.000
Co 0.000 0.000 0.000
H 2.509 2.509 2.509
```

Computed properties:
total magnetic moment = 1.57 Bohr magnetons per cell
V = 126 Å³/cell
crystal system = cubic

Most favorable structure: w. The second most favorable one is 0.325 eV/atom above it.

--- w ---
Here is an optimized crystal structure of MgCdCoH2 from Alexandria. Energies are from PBE.

```
5
Lattice="3.702 0.000 0.000 0.000 3.702 0.000 0.000 0.000 5.038" Properties=species:S:1:pos:R:3 pbc="T T T"
Mg 0.000 0.000 0.000
Cd 1.851 1.851 0.000
Co 1.851 1.851 2.519
H 0.000 1.851 2.519
H 1.851 0.000 2.519
```

Computed properties:
total magnetic moment = 0.46 Bohr magnetons per cell
V = 69 Å³/cell
crystal system = tetragonal

--- x ---
Here is an optimized crystal structure of MgCdCoH2 from Alexandria. Energies are from PBE.

```
5
Lattice="3.653 0.000 0.000 0.000 3.653 0.000 0.000 0.000 6.426" Properties=species:S:1:pos:R:3 pbc="T T T"
Mg 0.000 0.000 0.000
Cd 0.000 0.000 3.213
Co 1.826 1.826 3.213
H 0.000 1.826 0.000
H 1.826 0.000 0.000
```

Computed properties:
total magnetic moment = 1.45 Bohr magnetons per cell
V = 86 Å³/cell
crystal system = tetragonal

Most favorable structure: w. The second most favorable one is 0.034 eV/atom above it.

--- w ---
Here is an optimized crystal structure of Sc2CdCoH from Alexandria. Energies are from PBE.

```
5
Lattice="4.661 0.000 0.000 0.000 4.661 0.000 0.000 0.000 3.498" Properties=species:S:1:pos:R:3 pbc="T T T"
Sc 0.000 2.330 0.000
Sc 2.330 0.000 0.000
Cd 0.000 0.000 1.749
Co 2.330 2.330 1.749
H 2.330 2.330 0.000
```

Computed properties:
total magnetic moment = 0.43 Bohr magnetons per cell
V = 76 Å³/cell
crystal system = tetragonal

--- x ---
Here is an optimized crystal structure of Sc2CdCoH from Alexandria. Energies are from PBE.

```
5
Lattice="5.302 0.000 0.000 0.000 5.302 0.000 0.000 0.000 4.633" Properties=species:S:1:pos:R:3 pbc="T T T"
Sc 0.000 2.651 0.000
Sc 2.651 0.000 0.000
Cd 0.000 0.000 0.000
Co 0.000 0.000 2.316
H 2.651 2.651 2.316
```

Computed properties:
total magnetic moment = 0.34 Bohr magnetons per cell
V = 130 Å³/cell
crystal system = tetragonal

Most favorable structure: w. The second most favorable one is 1.618 eV/atom above it.

--- w ---
Here is an optimized crystal structure of HfCd2Co from Alexandria. Energies are from PBE.

```
4
Lattice="0.000 3.295 3.295 3.295 0.000 3.295 3.295 3.295 0.000" Properties=species:S:1:pos:R:3 pbc="T T T"
Hf 0.000 0.000 0.000
Cd 1.647 1.647 1.647
Cd 4.942 4.942 4.942
Co 3.295 3.295 3.295
```

Computed properties:
total magnetic moment = 0.00 Bohr magnetons per cell
V = 72 Å³/cell
crystal system = cubic

--- x ---
Here is an optimized crystal structure of HfCd2Co from Alexandria. Energies are from PBE.

```
8
Lattice="-3.976 3.976 2.529 3.976 -3.976 2.529 3.976 3.976 -2.529" Properties=species:S:1:pos:R:3 pbc="T T T"
Hf 0.000 0.000 0.000
Hf 0.000 3.976 1.265
Cd 1.988 2.478 -0.632
Cd 5.473 1.988 0.632
Cd 1.988 1.498 1.897
Cd -1.498 1.988 3.162
Co 3.976 0.000 1.265
Co 0.000 0.000 2.529
```

Computed properties:
total magnetic moment = 0.00 Bohr magnetons per cell
V = 160 Å³/cell
crystal system = tetragonal

Most favorable structure: w. The second most favorable one is 0.171 eV/atom above it.

--- w ---
Here is an optimized crystal structure of RbCd2CoHg from Alexandria. Energies are from PBE.

```
5
Lattice="7.340 0.000 0.000 0.000 7.340 0.000 0.000 0.000 6.343" Properties=species:S:1:pos:R:3 pbc="T T T"
Rb 0.000 0.000 0.000
Cd 0.000 3.670 0.000
Cd 3.670 0.000 0.000
Co 0.000 0.000 3.171
Hg 3.670 3.670 3.171
```

Computed properties:
total magnetic moment = 2.00 Bohr magnetons per cell
V = 342 Å³/cell
crystal system = tetragonal

--- x ---
Here is an optimized crystal structure of RbCd2CoHg from Alexandria. Energies are from PBE.

```
5
Lattice="5.513 0.000 0.000 0.000 5.513 0.000 0.000 0.000 5.206" Properties=species:S:1:pos:R:3 pbc="T T T"
Rb 0.000 0.000 0.000
Cd 0.000 2.757 2.603
Cd 2.757 0.000 2.603
Co 2.757 2.757 0.000
Hg 2.757 2.757 2.603
```

Computed properties:
total magnetic moment = 1.91 Bohr magnetons per cell
V = 158 Å³/cell
crystal system = tetragonal

Most favorable structure: x. The second most favorable one is 0.503 eV/atom above it.

--- w ---
Here is an optimized crystal structure of Ho3CdCo from Alexandria. Energies are from PBE.

```
10
Lattice="6.975 0.000 0.000 0.000 4.680 0.000 -2.893 0.000 7.664" Properties=species:S:1:pos:R:3 pbc="T T T"
Ho -0.351 1.170 2.059
Ho -0.564 1.170 7.028
Ho 0.649 3.510 4.544
Ho 3.432 1.170 3.120
Ho 4.645 3.510 0.636
Ho 4.432 3.510 5.605
Cd 1.555 3.510 1.367
Cd 2.526 1.170 6.297
Co -1.206 1.170 4.550
Co 5.288 3.510 3.114
```

Computed properties:
total magnetic moment = 0.00 Bohr magnetons per cell
V = 250 Å³/cell
crystal system = monoclinic

--- x ---
Here is an optimized crystal structure of Ho3CdCo from Alexandria. Energies are from PBE.

```
10
Lattice="0.000 4.798 7.966 3.184 0.000 7.966 3.184 4.798 0.000" Properties=species:S:1:pos:R:3 pbc="T T T"
Ho 3.184 2.967 6.149
Ho 3.184 4.798 3.212
Ho 3.184 2.967 9.782
Ho 3.184 6.630 6.149
Ho 3.184 4.798 12.720
Ho 3.184 6.630 9.782
Cd 5.014 4.798 7.966
Cd 1.354 4.798 7.966
Co 1.592 2.399 3.983
Co 4.776 7.198 11.949
```

Computed properties:
total magnetic moment = 0.20 Bohr magnetons per cell
V = 243 Å³/cell
crystal system = orthorhombic

Most favorable structure: x. The second most favorable one is 0.020 eV/atom above it.